This record from the Alexandria database describes CrPbNO2 after structural relaxation. The functional is GGA+U.

Total DFT energy (no corrections) = -4.29 eV/atom
Crystal system = tetragonal

Cell lengths 4.0954, 4.0954, 4.2685 Å; angles 90.00, 90.00, 90.00 degrees
Space group P4/mmm (No. 123)
Unique sites:
1 Cr 0.0000 0.0000 0.0000 x1
2 Pb 0.5000 0.5000 0.0000 x1
3 N 0.5000 0.5000 0.5000 x1
4 O 0.0000 0.5000 0.5000 x2